This record from Alexandria describes crystalline Ba2PaNb3O12 at its relaxed geometry. The functional is GGA-PBE.

space-group type = R-3m (166)
E_tot = -154.30 eV/f.u.
E_form (uncorrected) = -51.25 eV per formula unit
calculated density = 5.02 Mg/m³

Cell and atoms, written as POSCAR:
```
Ba2PaNb3O12
1.0
-3.708 5.234 -4.338
-7.137 2.348 1.874
-1.236 7.171 2.648
O Nb Ba Pa
12 3 2 1
Cartesian
-3.091 4.188 -2.523
-5.097 2.500 1.110
-6.984 12.253 -0.926
-4.481 9.111 1.758
-3.807 8.742 -1.077
-10.436 9.432 -1.379
-6.070 7.866 -2.732
-7.600 5.642 -1.574
-8.990 10.565 2.707
-6.011 6.887 2.916
-8.274 6.011 1.261
-1.645 5.321 1.563
-0.618 3.585 1.324
-1.854 2.617 -2.169
-3.568 1.174 0.937
-3.746 4.575 0.057
-8.335 10.178 0.127
0.000 0.000 0.000
```



This record from Alexandria describes crystalline KLiAl at its relaxed geometry. The functional is GGA-PBE.

space-group type = P-1 (2)
E_tot = -6.76 eV/f.u.
energy relative to the lowest polymorph listed for this composition = 0 meV/atom
DFT formation energy = -3 meV/atom
calculated density = 1.21 Mg/m³

Cell and atoms, written as POSCAR:
```
KLiAl
1.0
4.506 0.002 -0.003
2.252 3.900 0.014
0.046 2.607 11.385
Li K Al
2 2 2
Cartesian
4.552 2.612 10.097
2.252 3.898 1.298
2.299 3.904 7.670
4.505 2.606 3.725
4.552 5.209 11.176
2.253 1.301 0.220
```



This record from Alexandria describes crystalline MgTlH2Cl at its relaxed geometry. The functional is GGA-PBE.

space-group type = P4/mmm (123)
E_tot = -12.65 eV/f.u.
calculated density = 4.79 Mg/m³

Cell and atoms, written as POSCAR:
```
MgTlH2Cl
1.0
3.909 0.000 0.000
0.000 6.033 0.000
0.000 0.000 3.909
Cl H Tl Mg
1 2 1 1
Cartesian
1.955 3.017 1.955
0.000 0.000 1.955
1.955 0.000 0.000
0.000 0.000 0.000
0.000 3.017 0.000
```



This record from Alexandria describes crystalline Li23PuRh6 at its relaxed geometry. The functional is GGA-PBE.

space-group type = Fm-3m (225)
E_tot = -104.74 eV/f.u.
DFT formation energy = -76 meV/atom
calculated density = 3.76 Mg/m³

Cell and atoms, written as POSCAR:
```
Li23PuRh6
1.0
7.452 0.000 4.303
2.484 7.026 4.303
0.000 0.000 8.605
Li Rh Pu
23 6 1
Cartesian
1.242 3.513 2.151
8.747 6.185 10.665
0.000 0.000 0.000
4.862 6.185 12.908
6.360 4.497 6.194
8.747 6.185 15.151
4.968 3.513 4.303
1.189 0.841 2.060
4.968 6.466 8.605
1.189 0.841 6.545
2.484 4.504 4.303
3.576 2.529 6.194
5.074 0.841 4.303
7.452 2.523 12.908
2.184 4.497 8.605
1.242 3.513 6.454
3.576 2.529 11.016
0.000 0.000 4.303
7.752 2.529 8.605
3.726 0.000 2.151
4.968 0.560 8.605
3.726 0.000 6.454
6.360 4.497 11.016
6.100 1.912 10.566
6.100 1.912 6.644
7.232 5.114 8.605
3.836 5.114 10.566
3.836 5.114 6.644
2.704 1.912 8.605
4.968 3.513 8.605
```